The following is a DFT calculation (PBE-GGA) of crystalline Mg2Cu7 at its relaxed geometry.

Summary:
Its total DFT energy (no corrections) is -3.59 eV per atom.

abc: 4.9210 4.9210 36.6663
angles: 90.00 90.00 120.00
Space group R-3m (No. 166, hexagonal axes)
Asymmetric unit:
Mg (0.0000, 0.0000, 0.0554) x6
Mg (0.0000, 0.0000, 0.1511) x6
Cu (0.0000, 0.0000, 0.2775) x6
Cu (0.0000, 0.0000, 0.3890) x6
Cu (0.0000, 0.0000, 0.5000) x3
Cu (0.0000, 0.5000, 0.0000) x9
Cu (0.0026, 0.5013, 0.8882) x18